# 1
# Hf2GeCl (PBE, optimized geometry)
data_Hf2GeCl
_chemical_formula_sum 'Hf8 Ge4 Cl4'
_cell_length_a 4.781
_cell_length_b 4.781
_cell_length_c 16.112
_cell_angle_alpha 90.00
_cell_angle_beta 90.00
_cell_angle_gamma 90.00
_space_group_name_H-M_alt 'P 1'
_space_group_IT_number 1
_space_group_name_Hall 'P 1'
loop_
_atom_site_label
_atom_site_fract_x
_atom_site_fract_y
_atom_site_fract_z
Hf1 0.236 0.250 0.125
Hf2 0.250 0.736 0.375
Hf3 0.250 0.764 0.875
Hf4 0.264 0.250 0.625
Hf5 0.736 0.750 0.625
Hf6 0.750 0.236 0.875
Hf7 0.750 0.264 0.375
Hf8 0.764 0.750 0.125
Ge1 0.000 0.000 0.500
Ge2 0.000 0.500 0.750
Ge3 0.500 0.000 0.250
Ge4 0.500 0.500 0.000
Cl1 0.000 0.000 0.000
Cl2 0.000 0.500 0.250
Cl3 0.500 0.000 0.750
Cl4 0.500 0.500 0.500
# SG = I-42d (122)
# Crystal system = tetragonal
# V = 23.02 Å³ per atom



# 2
# HfGeCl2 (PBE, optimized geometry)
data_HfGeCl2
_chemical_formula_sum 'Hf3 Ge3 Cl6'
_cell_length_a 3.172
_cell_length_b 3.172
_cell_length_c 35.684
_cell_angle_alpha 90.00
_cell_angle_beta 90.00
_cell_angle_gamma 120.00
_space_group_name_H-M_alt 'P 1'
_space_group_IT_number 1
_space_group_name_Hall 'P 1'
loop_
_atom_site_label
_atom_site_fract_x
_atom_site_fract_y
_atom_site_fract_z
Hf1 0.000 0.000 0.000
Hf2 0.333 0.667 0.667
Hf3 0.667 0.333 0.333
Ge1 0.000 0.000 0.500
Ge2 0.333 0.667 0.167
Ge3 0.667 0.333 0.833
Cl1 0.000 0.000 0.385
Cl2 0.000 0.000 0.615
Cl3 0.333 0.667 0.052
Cl4 0.333 0.667 0.282
Cl5 0.667 0.333 0.718
Cl6 0.667 0.333 0.948
# SG = R-3m (166)
# Crystal system = trigonal
# V = 25.92 Å³ per atom



Number 1: magnetic moment 0.00 μB per formula unit, polymorph energy (0 for the lowest one) 516 meV per atom, uncorrected formation energy 0.082 eV/atom. Number 2: magnetic moment 0.00 μB per formula unit, polymorph energy (0 for the lowest one) 0 meV per atom, uncorrected formation energy -0.751 eV/atom.